1.
Here is a relaxed structure of BaTlZnAu from OQMD via LeMat-Bulk. Energies are from PBE.

Unit cell a=5.391 b=5.391 c=5.391 alpha=60.00 beta=60.00 gamma=60.00
Atoms (fractional coordinates):
Au 0.750 0.750 0.750
Ba 0.000 0.000 0.000
Tl 0.500 0.500 0.500
Zn 0.250 0.250 0.250

Summary:
- total DFT energy (no corrections) (eV per atom) = -2.485
- crystal system = cubic
- E above lowest polymorph (kJ per mole of atoms) = 0.0
- theoretical density (Mg/m³) = 9.1
- SG = F-43m, No. 216

=====

2.
Here is a relaxed structure of BaUAu from OQMD via LeMat-Bulk. Energies are from PBE.

Unit cell a=5.301 b=5.301 c=5.301 alpha=60.00 beta=60.00 gamma=60.00
Atoms (fractional coordinates):
Au 0.000 0.000 0.000
Ba 0.250 0.250 0.250
U 0.750 0.750 0.750

Summary:
- total DFT energy (no corrections) (eV per atom) = -4.949
- crystal system = cubic
- E above lowest polymorph (kJ per mole of atoms) = 0.0
- theoretical density (Mg/m³) = 9.0
- magnetic moment (μB/cell) = 4.439
- SG = F-43m, No. 216

=====

3.
Here is a relaxed structure of BaYAu from OQMD via LeMat-Bulk. Energies are from PBE.

Unit cell a=5.173 b=5.173 c=5.173 alpha=60.00 beta=60.00 gamma=60.00
Atoms (fractional coordinates):
Au 0.250 0.250 0.250
Ba 0.000 0.000 0.000
Y 0.750 0.750 0.750

Summary:
- total DFT energy (no corrections) (eV per atom) = -3.463
- crystal system = cubic
- E above lowest polymorph (kJ per mole of atoms) = 61.4
- theoretical density (Mg/m³) = 7.2
- magnetic moment (μB/cell) = 0.000
- SG = F-43m, No. 216

=====

4.
Here is a relaxed structure of Ba2ZnAu3 from OQMD via LeMat-Bulk. Energies are from PBE.

Unit cell a=9.586 b=9.384 c=6.495 alpha=71.66 beta=68.31 gamma=40.03
Atoms (fractional coordinates):
Au 0.826 0.826 0.174
Au 0.349 0.825 0.175
Au 0.175 0.651 0.349
Au 0.825 0.349 0.651
Au 0.651 0.175 0.825
Au 0.174 0.174 0.826
Ba 0.757 0.243 0.243
Ba 0.250 0.250 0.250
Ba 0.750 0.750 0.750
Ba 0.243 0.757 0.757
Zn 0.667 0.667 0.333
Zn 0.333 0.333 0.667

Summary:
- total DFT energy (no corrections) (eV per atom) = -3.142
- crystal system = orthorhombic
- theoretical density (Mg/m³) = 8.9
- SG = Fmmm, No. 69

=====

5.
Here is a relaxed structure of BaZn2Au from OQMD via LeMat-Bulk. Energies are from PBE.

Unit cell a=5.223 b=5.223 c=5.223 alpha=60.00 beta=60.00 gamma=60.00
Atoms (fractional coordinates):
Au 0.500 0.500 0.500
Ba 0.750 0.750 0.750
Zn 0.000 0.000 0.000
Zn 0.250 0.250 0.250

Summary:
- total DFT energy (no corrections) (eV per atom) = -2.087
- crystal system = cubic
- theoretical density (Mg/m³) = 7.7
- SG = F-43m, No. 216

=====

6.
Here is a relaxed structure of BaZn2Au3 from OQMD via LeMat-Bulk. Energies are from PBE.

Unit cell a=7.065 b=7.065 c=5.560 alpha=90.00 beta=90.00 gamma=76.71
Atoms (fractional coordinates):
Au 0.091 0.524 0.250
Au 0.476 0.909 0.250
Au 0.072 0.928 0.250
Au 0.928 0.072 0.750
Au 0.524 0.091 0.750
Au 0.909 0.476 0.750
Ba 0.682 0.318 0.250
Ba 0.318 0.682 0.750
Zn 0.203 0.203 0.000
Zn 0.797 0.797 0.000
Zn 0.203 0.203 0.500
Zn 0.797 0.797 0.500

Summary:
- total DFT energy (no corrections) (eV per atom) = -2.897
- crystal system = orthorhombic
- theoretical density (Mg/m³) = 10.6
- SG = Cmcm, No. 63

=====

7.
Here is a relaxed structure of BeAu2 from OQMD via LeMat-Bulk. Energies are from PBE.

Unit cell a=7.043 b=7.043 c=7.043 alpha=131.67 beta=131.67 gamma=70.76
Atoms (fractional coordinates):
Au 0.380 0.880 0.000
Au 0.130 0.630 0.000
Au 0.879 0.880 0.500
Au 0.130 0.129 0.500
Au 0.630 0.630 0.500
Au 0.380 0.380 0.500
Au 0.630 0.129 0.000
Au 0.879 0.380 0.000
Be 0.006 0.006 0.000
Be 0.503 0.503 0.000
Be 0.756 0.256 0.500
Be 0.253 0.753 0.500

Summary:
- total DFT energy (no corrections) (eV per atom) = -3.524
- crystal system = tetragonal
- E above lowest polymorph (kJ per mole of atoms) = 3.9
- theoretical density (Mg/m³) = 14.0
- SG = I4_1/amd, No. 141

=====

8.
Here is a relaxed structure of BeAu from OQMD via LeMat-Bulk. Energies are from PBE.

Unit cell a=3.685 b=3.685 c=3.685 alpha=60.00 beta=60.00 gamma=60.00
Atoms (fractional coordinates):
Au 0.000 0.000 0.000
Be 0.250 0.250 0.250

Summary:
- total DFT energy (no corrections) (eV per atom) = -3.206
- crystal system = cubic
- theoretical density (Mg/m³) = 9.7
- SG = F-43m, No. 216